A plane-wave DFT calculation with PBE was carried out for a geometry-optimized Tm3Sc2Pd2 structure.

Unit cell a=3.563 b=6.276 c=8.808 alpha=115.64 beta=90.00 gamma=106.49
Positions (direct):
Tm 0.500 0.000 0.000
Tm 0.610 0.220 0.437
Tm 0.390 0.780 0.563
Sc 0.839 0.678 0.179
Sc 0.161 0.322 0.821
Pd 0.819 0.638 0.767
Pd 0.181 0.362 0.233

## Properties
Density of states at the Fermi level ... 9.699 states/eV per cell
Energy of formation ... -0.513 eV/atom
Electronic total energy ... -5.7221 eV/atom



A plane-wave DFT calculation with PBE was carried out for a geometry-optimized HoAsO4 structure.

Unit cell a=5.953 b=5.951 c=5.953 alpha=106.49 beta=115.62 gamma=106.49
Positions (direct):
As 0.375 0.750 0.625
As 0.625 0.250 0.375
Ho 0.125 0.250 0.875
Ho 0.875 0.750 0.125
O 0.197 0.568 0.265
O 0.197 0.932 0.629
O 0.265 0.068 0.197
O 0.803 0.432 0.735
O 0.629 0.432 0.197
O 0.735 0.932 0.803
O 0.803 0.068 0.371
O 0.371 0.568 0.803

## Properties
E_form (uncorrected) ... -2.39 eV per atom
Density of states at the Fermi level ... 0.000 states/eV per cell
Electronic total energy ... -7.2296 eV/atom



A plane-wave DFT calculation with PBE was carried out for a geometry-optimized PmTmMg4 structure.

Unit cell a=3.297 b=5.254 c=9.667 alpha=90.02 beta=109.81 gamma=89.99
Positions (direct):
Pm 0.502 0.497 0.998
Tm 0.002 0.997 0.498
Mg 0.173 0.997 0.170
Mg 0.829 0.997 0.826
Mg 0.663 0.497 0.660
Mg 0.339 0.497 0.336

## Properties
Offset from the most stable computed form ... 0.0 meV per atom
Density of states at the Fermi level ... 3.536 states/eV per cell
Energy of formation ... -0.076 eV/atom
Electronic total energy ... -2.6757 eV/atom



A plane-wave DFT calculation with PBE was carried out for a geometry-optimized Tb5NdSm6 structure.

Unit cell a=11.941 b=6.246 c=6.243 alpha=59.99 beta=85.01 gamma=79.99
Positions (direct):
Tb 0.500 0.167 0.666
Tb 0.000 0.333 0.333
Tb 0.500 0.500 0.000
Tb 0.000 0.667 0.667
Tb 0.500 0.833 0.334
Nd 0.000 0.000 0.000
Sm 0.749 0.084 0.334
Sm 0.251 0.582 0.334
Sm 0.251 0.250 0.000
Sm 0.749 0.750 0.000
Sm 0.749 0.418 0.666
Sm 0.251 0.916 0.666

## Properties
Offset from the most stable computed form ... 0.0 meV per atom
Density of states at the Fermi level ... 15.620 states/eV per cell
Energy of formation ... 0.013 eV/atom
Electronic total energy ... -4.6730 eV/atom